{
  "formula": "Pr3Sm6Dy2In",
  "functional": "PBE",
  "state": "relaxed",
  "spacegroup": "No. 12",
  "dos_at_fermi_per_ev_atom": 1.330,
  "delta_e_f_ev_per_atom": -0.0343,
  "lattice": [[6.253, -0.009, -0.001], [-3.133, 5.412, -0.001], [-1.058, -1.833, 11.662]],
  "species": ["Dy", "Dy", "Sm", "Sm", "Sm", "Sm", "Sm", "Sm", "Pr", "Pr", "Pr", "In"],
  "frac_coords": [[0.666, 0.334, 0.000], [0.334, 0.666, 0.000], [0.406, 0.080, 0.242], [0.754, 0.754, 0.244], [0.246, 0.246, 0.756], [0.080, 0.406, 0.242], [0.594, 0.920, 0.758], [0.920, 0.594, 0.758], [0.500, 0.500, 0.500], [0.169, 0.831, 0.500], [0.831, 0.169, 0.500], [0.000, 0.000, 0.000]]
}

---

{
  "formula": "Pr2Sm6Dy3In",
  "functional": "PBE",
  "state": "relaxed",
  "spacegroup": "No. 12",
  "dos_at_fermi_per_ev_atom": 1.206,
  "delta_e_f_ev_per_atom": -0.0546,
  "lattice": [[-2.527, -1.501, -5.449], [5.964, -1.247, 1.103], [-4.133, -9.559, 5.726]],
  "species": ["Sm", "Sm", "Sm", "Sm", "Sm", "Sm", "In", "Pr", "Pr", "Dy", "Dy", "Dy"],
  "frac_coords": [[0.409, 0.084, 0.251], [0.916, 0.591, 0.749], [0.084, 0.409, 0.251], [0.758, 0.758, 0.252], [0.591, 0.916, 0.749], [0.242, 0.242, 0.748], [0.000, 0.000, 0.000], [0.666, 0.334, 0.000], [0.334, 0.666, 0.000], [0.167, 0.833, 0.500], [0.833, 0.167, 0.500], [0.500, 0.500, 0.500]]
}

---

{
  "formula": "Pr6Sm3Dy2In",
  "functional": "PBE",
  "state": "relaxed",
  "spacegroup": "No. 12",
  "dos_at_fermi_per_ev_atom": 1.258,
  "delta_e_f_ev_per_atom": -0.0320,
  "lattice": [[6.296, -0.015, 0.009], [-3.159, 5.446, 0.009], [-1.093, -1.893, 11.734]],
  "species": ["Pr", "Pr", "Pr", "Pr", "Pr", "Pr", "In", "Sm", "Sm", "Sm", "Dy", "Dy"],
  "frac_coords": [[0.407, 0.080, 0.244], [0.080, 0.407, 0.244], [0.593, 0.920, 0.756], [0.245, 0.245, 0.753], [0.920, 0.593, 0.756], [0.755, 0.755, 0.247], [0.000, 0.000, 0.000], [0.831, 0.169, 0.500], [0.169, 0.831, 0.500], [0.500, 0.500, 0.500], [0.666, 0.334, 0.000], [0.334, 0.666, 0.000]]
}

---

{
  "formula": "Pr2Sm2Dy2In",
  "functional": "PBE",
  "state": "relaxed",
  "spacegroup": "No. 12",
  "dos_at_fermi_per_ev_atom": 1.539,
  "delta_e_f_ev_per_atom": -0.0288,
  "lattice": [[3.570, 0.000, 0.000], [-1.785, 5.810, -1.066], [0.000, -2.435, 11.481]],
  "species": ["Sm", "Sm", "Pr", "Pr", "In", "Dy", "Dy"],
  "frac_coords": [[0.673, 0.345, 0.085], [0.327, 0.655, 0.915], [0.531, 0.063, 0.755], [0.469, 0.937, 0.245], [0.000, 0.000, 0.500], [0.251, 0.503, 0.371], [0.749, 0.497, 0.629]]
}

---

{
  "formula": "PrSmDyIn",
  "functional": "PBE",
  "state": "relaxed",
  "spacegroup": "No. 216",
  "dos_at_fermi_per_ev_atom": 1.458,
  "delta_e_f_ev_per_atom": -0.1022,
  "lattice": [[-3.262, 4.430, 0.689], [-5.456, -0.662, 0.736], [-2.274, 1.025, 4.952]],
  "species": ["In", "Sm", "Pr", "Dy"],
  "frac_coords": [[0.750, 0.750, 0.750], [0.500, 0.500, 0.500], [0.250, 0.250, 0.250], [0.000, 0.000, 0.000]]
}

---

{
  "formula": "Pr6Sm2Dy3In",
  "functional": "PBE",
  "state": "relaxed",
  "spacegroup": "No. 12",
  "dos_at_fermi_per_ev_atom": 1.162,
  "delta_e_f_ev_per_atom": -0.0432,
  "lattice": [[6.261, -0.009, 0.001], [-3.137, 5.418, 0.001], [-1.057, -1.830, 11.754]],
  "species": ["Pr", "Pr", "Pr", "Pr", "Pr", "Pr", "Dy", "Dy", "Dy", "In", "Sm", "Sm"],
  "frac_coords": [[0.083, 0.409, 0.250], [0.409, 0.083, 0.250], [0.757, 0.757, 0.251], [0.243, 0.243, 0.749], [0.591, 0.917, 0.750], [0.917, 0.591, 0.750], [0.500, 0.500, 0.500], [0.168, 0.832, 0.500], [0.832, 0.168, 0.500], [0.000, 0.000, 0.000], [0.334, 0.666, 0.000], [0.666, 0.334, 0.000]]
}

---

{
  "formula": "Tb2PrDyIn4",
  "functional": "PBE",
  "state": "relaxed",
  "spacegroup": "No. 166",
  "dos_at_fermi_per_ev_atom": 0.425,
  "delta_e_f_ev_per_atom": -0.4734,
  "lattice": [[-1.727, -3.353, -3.825], [-0.500, -5.244, 1.051], [-9.043, -1.553, 1.673]],
  "species": ["In", "In", "In", "In", "Pr", "Tb", "Tb", "Dy"],
  "frac_coords": [[0.127, 0.127, 0.620], [0.873, 0.873, 0.380], [0.623, 0.623, 0.130], [0.377, 0.377, 0.870], [0.000, 0.000, 0.000], [0.750, 0.750, 0.749], [0.250, 0.250, 0.251], [0.500, 0.500, 0.500]]
}

---

{
  "formula": "Tb3Pr2Dy6In",
  "functional": "PBE",
  "state": "relaxed",
  "spacegroup": "No. 12",
  "dos_at_fermi_per_ev_atom": 1.291,
  "delta_e_f_ev_per_atom": -0.0581,
  "lattice": [[-3.570, -1.495, 4.738], [-0.948, -2.561, -5.475], [8.775, -7.234, 3.008]],
  "species": ["Tb", "Tb", "Tb", "Dy", "Dy", "Dy", "Dy", "Dy", "Dy", "Pr", "Pr", "In"],
  "frac_coords": [[0.500, 0.500, 0.500], [0.833, 0.167, 0.500], [0.167, 0.833, 0.500], [0.244, 0.244, 0.749], [0.756, 0.756, 0.251], [0.590, 0.917, 0.750], [0.410, 0.083, 0.250], [0.083, 0.410, 0.250], [0.917, 0.590, 0.750], [0.334, 0.666, 0.000], [0.666, 0.334, 0.000], [0.000, 0.000, 0.000]]
}

---

{
  "formula": "TbPrDyIn",
  "functional": "PBE",
  "state": "relaxed",
  "spacegroup": "No. 216",
  "polymorph_energy_ev_per_fu": 0.15,
  "dos_at_fermi_per_ev_atom": 1.478,
  "delta_e_f_ev_per_atom": -0.0947,
  "lattice": [[5.515, 0.000, 0.000], [0.000, 5.515, 0.000], [-2.757, -2.757, 3.901]],
  "species": ["Dy", "Tb", "In", "Pr"],
  "frac_coords": [[0.500, 0.500, 0.000], [0.000, 0.000, 0.000], [0.250, 0.750, 0.500], [0.750, 0.250, 0.500]]
}

---

{
  "formula": "TbPrDyIn",
  "functional": "PBE",
  "state": "relaxed",
  "spacegroup": "No. 216",
  "polymorph_energy_ev_per_fu": 0.00,
  "dos_at_fermi_per_ev_atom": 1.398,
  "delta_e_f_ev_per_atom": -0.1327,
  "lattice": [[-4.097, -2.968, 2.231], [-1.880, -4.506, -2.595], [1.035, -5.020, 2.075]],
  "species": ["Dy", "In", "Pr", "Tb"],
  "frac_coords": [[0.000, 0.000, 0.000], [0.250, 0.250, 0.250], [0.500, 0.500, 0.500], [0.750, 0.750, 0.750]]
}

---

{
  "formula": "Pr2DyIn3Te6",
  "functional": "PBE",
  "state": "relaxed",
  "formation_energy_uncorrected_kj_per_mol_fu": -1140,
  "spacegroup": "No. 12",
  "dos_at_fermi_per_ev_atom": 0.090,
  "lattice": [[7.806, -0.001, 0.000], [-3.902, 6.761, 0.000], [-1.302, -2.254, 8.111]],
  "species": ["In", "In", "In", "Te", "Te", "Te", "Te", "Te", "Te", "Pr", "Pr", "Dy"],
  "frac_coords": [[0.500, 0.500, 0.500], [0.169, 0.831, 0.500], [0.831, 0.169, 0.500], [0.925, 0.601, 0.776], [0.075, 0.399, 0.224], [0.248, 0.248, 0.773], [0.399, 0.075, 0.224], [0.601, 0.925, 0.776], [0.752, 0.752, 0.227], [0.666, 0.334, 0.000], [0.334, 0.666, 0.000], [0.000, 0.000, 0.000]]
}

---

{
  "formula": "PrDyIn2Te4",
  "functional": "PBE",
  "state": "relaxed",
  "formation_energy_uncorrected_kj_per_mol_fu": -756,
  "spacegroup": "No. 10",
  "dos_at_fermi_per_ev_atom": 0.036,
  "lattice": [[4.479, 0.000, 0.000], [0.000, 8.497, -0.430], [0.000, 2.728, 7.274]],
  "species": ["Te", "Te", "Te", "Te", "Dy", "In", "In", "Pr"],
  "frac_coords": [[0.500, 0.721, 0.268], [0.000, 0.727, 0.749], [0.000, 0.273, 0.251], [0.500, 0.279, 0.732], [0.000, 0.500, 0.500], [0.500, 0.000, 0.500], [0.000, 0.000, 0.000], [0.500, 0.500, 0.000]]
}

---

Q: What is the formula in the ninth record?
A: TbPrDyIn